The following is a DFT calculation (GGA-PBE) of a relaxed structure of Li3PdO4.

Values from the calculation:
The calculation puts the uncorrected formation energy at -9.995 eV/f.u. The volume is 9.26 A^3/atom. The density of states at the Fermi level comes out at 9.39 states/eV per cell. Its density is 4288 kg/m³.

Cell lengths 5.1677, 5.1487, 5.9295 Å; angles 90.00, 90.00, 110.13 degrees
Last column: nearest neighbours and their distance in Å.
Fractional coordinates of all 16 atoms:
1 O 0.9854 0.2446 0.6345  1 Pd 1.97, 5 Li 2.06-2.16
2 O 0.5028 0.2308 0.8857  2 Pd 2.03-2.06, 4 Li 2.12-2.26
3 O 0.4854 0.2446 0.3655  1 Pd 1.97, 5 Li 2.06-2.16
4 O 0.0028 0.2308 0.1143  2 Pd 2.03-2.06, 4 Li 2.12-2.26
5 O 0.9972 0.7692 0.8857  2 Pd 2.03-2.06, 4 Li 2.12-2.26
6 O 0.5146 0.7554 0.6345  1 Pd 1.97, 5 Li 2.06-2.16
7 O 0.4972 0.7692 0.1143  2 Pd 2.03-2.06, 4 Li 2.12-2.26
8 O 0.0146 0.7554 0.3655  1 Pd 1.97, 5 Li 2.06-2.16
9 Pd 0.7500 0.0000 0.8654  6 O 1.97-2.06
10 Pd 0.2500 0.0000 0.1346  6 O 1.97-2.06
11 Li 0.7500 0.0000 0.3808  6 O 2.07-2.16
12 Li 0.2500 0.0000 0.6192  6 O 2.07-2.16
13 Li 0.7500 0.5000 0.6058  6 O 2.08-2.26
14 Li 0.7500 0.5000 0.1343  6 O 2.06-2.21
15 Li 0.2500 0.5000 0.3942  6 O 2.08-2.26
16 Li 0.2500 0.5000 0.8657  6 O 2.06-2.21